# 1
{
  "formula": "SrCd2F6",
  "functional": "PBE-GGA",
  "state": "relaxed",
  "polymorph_energy_ev_per_atom": 0.000,
  "mass_density_g_cm3": 4.53,
  "e_form_raw_ev_per_atom": -2.754,
  "lattice_angstrom": [[5.171, 0.000, 0.000], [0.000, 5.115, -2.953], [0.000, 0.000, 5.906]],
  "species": ["F", "Cd", "Cd", "F", "Sr", "F", "F", "F", "F"],
  "frac_coords": [[0.272, 0.657, 0.000], [0.500, 0.333, 0.667], [0.500, 0.667, 0.333], [0.728, 0.343, 0.000], [0.000, 0.000, 0.000], [0.272, 0.000, 0.657], [0.272, 0.343, 0.343], [0.728, 0.657, 0.657], [0.728, 0.000, 0.343]]
}

***

# 2
{
  "formula": "BaTaAsSe2",
  "functional": "PBE-GGA",
  "state": "relaxed",
  "polymorph_energy_ev_per_atom": 2.566,
  "mass_density_g_cm3": 5.08,
  "e_form_raw_ev_per_atom": 1.649,
  "lattice_angstrom": [[5.690, 0.000, 0.000], [0.000, 5.690, 0.000], [0.000, 0.000, 5.570]],
  "species": ["Ta", "Se", "Se", "Ba", "As"],
  "frac_coords": [[0.500, 0.500, 0.500], [0.500, 0.000, 0.000], [0.000, 0.500, 0.000], [0.000, 0.000, 0.000], [0.000, 0.000, 0.500]]
}

***

# 3
{
  "formula": "Nd8Ge3SI4",
  "functional": "PBE-GGA",
  "state": "relaxed",
  "mass_density_g_cm3": 6.42,
  "e_form_raw_ev_per_atom": -1.151,
  "lattice_angstrom": [[-2.923, 6.519, -4.785], [-0.137, -5.471, -7.370], [-4.369, -2.519, 6.964]],
  "species": ["Nd", "I", "Ge", "I", "Nd", "Ge", "Nd", "Nd", "Nd", "Nd", "Ge", "I", "I", "Nd", "S", "Nd"],
  "frac_coords": [[0.227, 0.694, 0.455], [0.000, 0.000, 0.000], [0.000, 0.500, 0.500], [0.500, 0.000, 0.500], [0.773, 0.306, 0.033], [0.500, 0.500, 0.500], [0.740, 0.694, 0.967], [0.260, 0.306, 0.033], [0.733, 0.699, 0.466], [0.773, 0.306, 0.545], [0.500, 0.500, 0.000], [0.000, 0.000, 0.500], [0.500, 0.000, 0.000], [0.267, 0.301, 0.534], [0.000, 0.500, 0.000], [0.227, 0.694, 0.967]]
}